Entry from Alexandria: crystalline Sr2PaWO8 at its relaxed geometry (GGA+U).

Values from the calculation:
E_tot ... -0.5623 Ry per atom

a b c (Å): 5.350 5.350 6.900
angles (deg): 90.00 90.00 92.22
Sites, in units of the cell vectors:
Sr: 0.000 0.000 0.241
Sr: 0.000 0.000 0.759
Pa: 0.500 0.500 0.500
W: 0.500 0.500 0.000
O: 0.230 0.230 0.500
O: 0.243 0.243 0.000
O: 0.331 0.669 0.218
O: 0.331 0.669 0.782
O: 0.669 0.331 0.218
O: 0.669 0.331 0.782
O: 0.757 0.757 0.000
O: 0.770 0.770 0.500